No. 1
## LaMgHPb (GGA-PBE)

Data for an optimized crystal structure of LaMgHPb.

a = 4.5329 Å, b = 4.5329 Å, c = 8.5574 Å
α = 90.00°, β = 90.00°, γ = 90.00°
With the nearest neighbours (Å) after each atom.
Space group P4/nmm (No. 129, origin choice 2)
Symmetry-distinct sites (fractional):
La  0.2500  0.2500  0.1299 [2 per cell]  4 H 2.52
Mg  0.2500  0.7500  0.5000 [2 per cell]  4 Pb 2.97, 4 Mg 3.21
H  0.2500  0.7500  0.0000 [2 per cell]  4 La 2.52
Pb  0.2500  0.2500  0.7248 [2 per cell]  4 Mg 2.97, 4 H 3.27

Calculated values
V in Å³ per atom: 22.0
M_tot in μB per atom: 0.00
Raw total energy in eV/cell: -31.40
Density of states at the Fermi level in states/eV/atom: 0.22

No. 2
## La2MgHPd6 (GGA-PBE)

Data for an optimized crystal structure of La2MgHPd6.

a = 5.8077 Å, b = 5.8077 Å, c = 18.8965 Å
α = 90.00°, β = 90.00°, γ = 120.00°
With the nearest neighbours (Å) after each atom.
Space group R-3m (No. 166, hexagonal axes)
Symmetry-distinct sites (fractional):
La  0.0000  0.0000  0.2349 [6 per cell]  6 Pd 2.99
Mg  0.0000  0.0000  0.5000 [3 per cell]  6 Pd 2.61
H  0.0000  0.0000  0.0000 [3 per cell]  6 Pd 2.03
Pd  0.0012  0.5006  0.7276 [18 per cell]  1 H 2.03

Calculated values
V in Å³ per atom: 18.4
M_tot in μB per atom: 0.00
Raw total energy in eV/cell: -157.61
Density of states at the Fermi level in states/eV/atom: 0.45

No. 3
## LaMgH8Pt2 (GGA-PBE)

Data for an optimized crystal structure of LaMgH8Pt2.

a = 4.9232 Å, b = 4.9232 Å, c = 17.7694 Å
α = 90.00°, β = 90.00°, γ = 120.00°
With the nearest neighbours (Å) after each atom.
Space group R-3 (No. 148, hexagonal axes)
Symmetry-distinct sites (fractional):
La  0.0000  0.0000  0.0000 [3 per cell]  6 H 2.40
Mg  0.0000  0.0000  0.5000 [3 per cell]  6 H 2.02
H  0.0000  0.0000  0.3252 [6 per cell]  1 Pt 1.61
H  0.0022  0.3181  0.1028 [18 per cell]  1 Pt 1.69
Pt  0.0000  0.0000  0.2349 [6 per cell]  4 H 1.61-1.69

Calculated values
V in Å³ per atom: 10.4
M_tot in μB per atom: 0.00
Raw total energy in eV/cell: -143.89
Density of states at the Fermi level in states/eV/atom: 0.18